Record 1
This record from the Alexandria database describes a geometry-optimized BeFeHIr2 structure. The functional is PBE.

```
BeFeHIr2
1.0
4.5270 0.0000 0.0000
0.0000 4.5270 0.0000
0.0000 0.0000 2.9325
Be Fe H Ir
1 1 1 2
Direct
0.0000 0.0000 0.0000 Be
0.5000 0.5000 0.5000 Fe
0.5000 0.5000 0.0000 H
0.0000 0.5000 0.5000 Ir
0.5000 0.0000 0.5000 Ir
```

The uncorrected energy is -5.8354 eV per atom. The mass density comes out at 12.4 g cm⁻³. The total magnetization is 0.0 Bohr magnetons per cell. The value obtained for the density of states at the Fermi level is 5.27 states/eV/f.u. For the volume, the calculation gives 60.1 Å³ per cell. As for the symmetry: No. 123.


Record 2
This record from the Alexandria database describes a geometry-optimized BaTi6O13 structure. The functional is PBE.

```
BaTi6O13
1.0
7.5694 0.0000 0.0000
3.7224 6.6529 0.0000
2.6686 1.9640 9.4465
Ba Ti O
2 12 26
Direct
0.1759 0.0325 0.1325 Ba
0.8241 0.9675 0.8675 Ba
0.0930 0.1545 0.5033 Ti
0.1826 0.3709 0.7511 Ti
0.2524 0.5088 0.2800 Ti
0.2931 0.5373 0.9821 Ti
0.3684 0.7244 0.5044 Ti
0.4184 0.9139 0.7703 Ti
0.5816 0.0861 0.2297 Ti
0.6316 0.2756 0.4956 Ti
0.7069 0.4627 0.0179 Ti
0.7476 0.4912 0.7200 Ti
0.8174 0.6291 0.2489 Ti
0.9070 0.8455 0.4967 Ti
0.0485 0.4130 0.3746 O
0.0633 0.6727 0.1416 O
0.1013 0.8735 0.5996 O
0.1334 0.5392 0.8722 O
0.1914 0.7108 0.3764 O
0.2226 0.1499 0.6402 O
0.2385 0.8281 0.8922 O
0.3312 0.9883 0.3892 O
0.3467 0.2899 0.1386 O
0.3720 0.1301 0.8525 O
0.3810 0.4446 0.6084 O
0.4442 0.5819 0.1168 O
0.4847 0.2771 0.3647 O
0.5153 0.7229 0.6353 O
0.5558 0.4181 0.8832 O
0.6190 0.5554 0.3916 O
0.6280 0.8699 0.1475 O
0.6533 0.7101 0.8614 O
0.6688 0.0117 0.6108 O
0.7615 0.1719 0.1078 O
0.7774 0.8501 0.3598 O
0.8086 0.2892 0.6236 O
0.8666 0.4608 0.1278 O
0.8987 0.1265 0.4004 O
0.9367 0.3273 0.8584 O
0.9515 0.5870 0.6254 O
```

The uncorrected energy is -8.7387 eV per atom. The mass density comes out at 4.4 g cm⁻³. For the formation energy (no corrections), the calculation gives -3051 meV/atom. The total magnetization is 0.0 Bohr magnetons per cell. The value obtained for the density of states at the Fermi level is 0.00 states/eV/f.u. For the volume, the calculation gives 475.7 Å³ per cell. As for the symmetry: No. 2.


Record 3
This record from the Alexandria database describes a geometry-optimized Sc3Cu4Si4 structure. The functional is PBE.

```
Sc3Cu4Si4
1.0
-1.9816 3.2122 6.5549
1.9816 -3.2122 6.5549
1.9816 3.2122 -6.5549
Sc Cu Si
3 4 4
Direct
0.0000 0.0000 0.0000 Sc
0.3746 0.8746 0.5000 Sc
0.6254 0.1254 0.5000 Sc
0.0228 0.3285 0.6943 Cu
0.3658 0.6715 0.6943 Cu
0.6342 0.3285 0.3057 Cu
0.9772 0.6715 0.3057 Cu
0.2171 0.2171 0.0000 Si
0.3127 0.5000 0.8127 Si
0.6873 0.5000 0.1873 Si
0.7829 0.7829 0.0000 Si
```

The uncorrected energy is -5.8105 eV per atom. The mass density comes out at 5.0 g cm⁻³. For the formation energy (no corrections), the calculation gives -622 meV/atom. The total magnetization is 0.0 Bohr magnetons per cell. The value obtained for the density of states at the Fermi level is 2.26 states/eV/f.u. For the volume, the calculation gives 166.9 Å³ per cell. As for the symmetry: No. 71.


Record 4
This record from the Alexandria database describes a geometry-optimized Co5Cl4 structure. The functional is PBE.

```
Co5Cl4
1.0
-5.4106 5.4106 1.6331
5.4106 -5.4106 1.6331
5.4106 5.4106 -1.6331
Co Cl
5 4
Direct
0.0000 0.0000 0.0000 Co
0.3877 0.3877 0.7754 Co
0.3877 0.6123 0.0000 Co
0.6123 0.3877 0.0000 Co
0.6123 0.6123 0.2246 Co
0.0000 0.2642 0.2642 Cl
0.0000 0.7358 0.7358 Cl
0.2642 0.0000 0.2642 Cl
0.7358 0.0000 0.7358 Cl
```

The uncorrected energy is -4.5818 eV per atom. The mass density comes out at 3.8 g cm⁻³. For the formation energy (no corrections), the calculation gives 187 meV/atom. The total magnetization is 11.0 Bohr magnetons per cell. The value obtained for the density of states at the Fermi level is 9.68 states/eV/f.u. For the volume, the calculation gives 191.2 Å³ per cell. As for the symmetry: No. 139.


Q: What is the formula in the first record?
A: BeFeHIr2


What did the first record say?
This record from the Alexandria database describes a geometry-optimized BeFeHIr2 structure. The functional is PBE.

```
BeFeHIr2
1.0
4.5270 0.0000 0.0000
0.0000 4.5270 0.0000
0.0000 0.0000 2.9325
Be Fe H Ir
1 1 1 2
Direct
0.0000 0.0000 0.0000 Be
0.5000 0.5000 0.5000 Fe
0.5000 0.5000 0.0000 H
0.0000 0.5000 0.5000 Ir
0.5000 0.0000 0.5000 Ir
```

The uncorrected energy is -5.8354 eV per atom. The mass density comes out at 12.4 g cm⁻³. The total magnetization is 0.0 Bohr magnetons per cell. The value obtained for the density of states at the Fermi level is 5.27 states/eV/f.u. For the volume, the calculation gives 60.1 Å³ per cell. As for the symmetry: No. 123.